A plane-wave DFT calculation with PBE was carried out for CrHSeN2 after structural relaxation.

Values from the calculation:
Relative energy among the computed polymorphs: 0.000 eV/atom
Total DFT energy (no corrections): -5.807 eV/atom
DOS(E_F): 2.958 states/eV/cell
Symmetry: No. 123

Unit cell a=3.550 b=3.550 c=5.129 alpha=90.00 beta=90.00 gamma=90.00
Fractional positions:
Se 0.000 0.000 0.500
H 0.500 0.500 0.500
N 0.000 0.500 0.000
N 0.500 0.000 0.000
Cr 0.000 0.000 0.000